# 1
PBE YTaSi2, optimized geometry; formation energy without anion corrections = -0.36 eV per atom; total magnetic moment = 0.0 Bohr magnetons per cell
1.0
3.6201 0.0000 0.0000
0.0000 3.2480 0.0007
0.0000 2.2641 6.3204
Ta Y Si
1 1 2
Cartesian
1.8101 1.3780 1.5803
1.8101 4.1341 4.7409
0.0000 2.8866 2.8265
0.0000 3.1175 0.3349

# 2
PBE YTaSi2, optimized geometry; formation energy without anion corrections = -0.12 eV per atom; total magnetic moment = 0.0 Bohr magnetons per cell
1.0
-2.6663 0.2572 -6.7690
6.7648 -0.2759 -2.6752
1.9031 -3.0350 -4.7795
Si Ta Y
4 2 2
Cartesian
4.4415 -0.9059 -3.5328
2.7842 -2.2759 -7.0550
5.1936 -2.2999 -11.9195
-0.4161 -0.6256 -5.9401
0.6430 -1.3936 -8.1353
0.0000 0.0000 0.0000
2.0492 -0.0093 -4.7221
5.3586 -1.6601 -6.0884

# 3
PBE YTaSi2, optimized geometry; formation energy without anion corrections = 0.25 eV per atom; total magnetic moment = 0.0 Bohr magnetons per cell
1.0
9.2219 -0.0157 -0.0092
8.7004 3.0574 -0.0092
8.7004 1.4766 2.6772
Y Ta Si
1 1 2
Cartesian
19.8639 3.3712 1.9837
13.6092 2.3097 1.3591
6.7782 1.1504 0.6769
26.3053 4.4644 2.6270

Repeat the second record exactly.
PBE YTaSi2, optimized geometry; formation energy without anion corrections = -0.12 eV per atom; total magnetic moment = 0.0 Bohr magnetons per cell
1.0
-2.6663 0.2572 -6.7690
6.7648 -0.2759 -2.6752
1.9031 -3.0350 -4.7795
Si Ta Y
4 2 2
Cartesian
4.4415 -0.9059 -3.5328
2.7842 -2.2759 -7.0550
5.1936 -2.2999 -11.9195
-0.4161 -0.6256 -5.9401
0.6430 -1.3936 -8.1353
0.0000 0.0000 0.0000
2.0492 -0.0093 -4.7221
5.3586 -1.6601 -6.0884

Copy entry 1 word for word.
PBE YTaSi2, optimized geometry; formation energy without anion corrections = -0.36 eV per atom; total magnetic moment = 0.0 Bohr magnetons per cell
1.0
3.6201 0.0000 0.0000
0.0000 3.2480 0.0007
0.0000 2.2641 6.3204
Ta Y Si
1 1 2
Cartesian
1.8101 1.3780 1.5803
1.8101 4.1341 4.7409
0.0000 2.8866 2.8265
0.0000 3.1175 0.3349

Q: The highest formation energy without anion corrections belongs to which entry?
A: number 3